Record 1
Compound: LiTbSO
Source: OQMD
Functional: GGA-PBE
Structure: optimized geometry

Cell: 3.8420 3.8420 8.5282 Å, 90.00 90.00 90.00°
With the nearest neighbours (Å) after each atom.
Sites, in units of the cell vectors:
O (0.2500, 0.7500, 0.0000)  4 Tb 2.24
S (0.7500, 0.7500, 0.3283)  4 Li 2.42
O (0.7500, 0.2500, 0.0000)  4 Tb 2.24
Tb (0.7500, 0.7500, 0.8659)  4 O 2.24
S (0.2500, 0.2500, 0.6717)  4 Li 2.42
Tb (0.2500, 0.2500, 0.1341)  4 O 2.24
Li (0.7500, 0.2500, 0.5000)  4 S 2.42
Li (0.2500, 0.7500, 0.5000)  4 S 2.42

## Properties
Symmetry: P4/nmm, No. 129
ΔE to the lowest computed polymorph: 0 meV per atom
Total energy: -50.8 eV per cell
Total magnetization: 0.0 μB per formula unit

***

Record 2
Compound: PrNdCu4
Source: OQMD
Functional: GGA-PBE
Structure: optimized geometry

Cell: 5.6430 5.6430 5.6430 Å, 134.50 100.90 96.32°
With the nearest neighbours (Å) after each atom.
Sites, in units of the cell vectors:
Cu (0.3747, 0.1659, 0.2088)  3 Cu 2.52-2.57
Cu (0.9571, 0.1659, 0.7912)  3 Cu 2.52-2.57
Cu (0.5435, 0.8338, 0.7097)  3 Cu 2.52-2.57
Nd (0.9676, 0.4676, 0.5000)  12 Cu 3.04-3.18
Pr (0.5331, 0.5331, 0.0000)  12 Cu 3.05-3.18
Cu (0.1240, 0.8338, 0.2903)  3 Cu 2.52-2.57

## Properties
Symmetry: Imm2, No. 44
ΔE to the lowest computed polymorph: 0 meV per atom
Total energy: -25.6 eV per cell
ΔE_f: -0.204 eV per atom
Total magnetization: 0.0 μB per formula unit

***

Record 3
Compound: TbLuAsO
Source: OQMD
Functional: GGA-PBE
Structure: optimized geometry

Cell: 4.2879 4.2879 8.6577 Å, 90.00 90.00 90.00°
With the nearest neighbours (Å) after each atom.
Sites, in units of the cell vectors:
As (0.2500, 0.2500, 0.7136)  4 Tb 2.83
Tb (0.7500, 0.2500, 0.5000)  4 As 2.83, 4 Tb 3.03
Lu (0.2500, 0.2500, 0.0927)  4 O 2.29
O (0.7500, 0.2500, 0.0000)  4 Lu 2.29
O (0.2500, 0.7500, 0.0000)  4 Lu 2.29
As (0.7500, 0.7500, 0.2864)  4 Tb 2.83
Tb (0.2500, 0.7500, 0.5000)  4 As 2.83, 4 Tb 3.03
Lu (0.7500, 0.7500, 0.9073)  4 O 2.29

## Properties
Symmetry: P4/nmm, No. 129
ΔE to the lowest computed polymorph: 95 meV per atom
Total energy: -52.1 eV per cell
Total magnetization: 0.0 μB per formula unit